! K2Mg3Sn4, relaxed, DFT PBE-GGA; values from VASP
&SYSTEM
  ibrav = 0, nat = 18, ntyp = 3
/
ATOMIC_SPECIES
Mg 24.30 Mg.upf
K 39.10 K.upf
Sn 118.71 Sn.upf
ATOMIC_POSITIONS angstrom
Mg 1.6854 2.1489 4.3777
Mg 0.0000 0.0000 0.0000
K 0.0000 0.9359 7.4417
Mg 5.0561 2.1489 4.3777
K 0.0000 5.2338 1.8193
Sn 3.3707 8.5647 6.0752
Mg -1.6854 6.4468 4.8833
Mg 1.6854 6.4468 4.8833
Sn 3.3707 4.2668 3.1858
Mg 3.3707 4.2979 0.0000
K 3.3707 7.6598 1.8193
Sn 5.0561 2.1489 1.3279
Sn -1.6854 6.4468 7.9331
Sn 0.0000 0.0310 3.1858
Sn 0.0000 4.3289 6.0752
Sn 1.6854 2.1489 1.3279
Sn 1.6854 6.4468 7.9331
K 3.3707 3.3619 7.4417
CELL_PARAMETERS angstrom
6.7415 0.0000 0.0000
0.0000 8.5957 0.0000
-3.3707 0.0000 9.2610
! N(E_F)   7.8 states/eV/cell
! Total magnetic moment   0.000 μB per formula unit
! SG   No. 64
! E_form   -1.2 eV/f.u.
! Total energy   -48.44 eV for the cell shown